DFT (meta-GGA SCAN) results for a crystal of Mg3Sc relaxed with PBEsol.

Summary:
SG: Pm-3m, No. 221
Density of states at the Fermi level, states/eV/cell: 3.43
DFT formation energy, eV/f.u.: -0.1
Total magnetization, μB per formula unit: 0.4

Unit cell a=4.4776 b=4.4776 c=4.4776 alpha=90.00 beta=90.00 gamma=90.00
Fractional coordinates of all 4 atoms:
Mg (0.0000, 0.0000, 0.5000)
Mg (0.0000, 0.5000, 0.0000)
Mg (0.5000, 0.0000, 0.0000)
Sc (0.5000, 0.5000, 0.5000)